No. 1
{"formula": "TiInCu", "functional": "PBE", "state": "optimized geometry", "lattice_angstrom": [[2.981, 0.000, 0.000], [0.000, 4.472, 0.000], [0.000, -2.236, 3.873]], "species": ["Ti", "Cu", "In"], "frac_coords": [[0.667, 0.333, 0.667], [0.167, 0.667, 0.333], [0.167, 0.000, 0.000]], "delta_e_f_kj_per_mol_atoms": -3.2}



No. 2
{"formula": "RbZn2In", "functional": "PBE", "state": "optimized geometry", "lattice_angstrom": [[-0.713, -2.914, 4.736], [5.555, -0.605, 0.464], [2.859, 5.971, 7.423]], "species": ["Zn", "Zn", "Zn", "Zn", "Rb", "Rb", "In", "In"], "frac_coords": [[0.875, 0.125, 0.250], [0.875, 0.625, 0.250], [0.375, 0.125, 0.750], [0.875, 0.125, 0.750], [0.500, 0.500, 0.000], [0.250, 0.750, 0.500], [0.000, 0.000, 0.000], [0.750, 0.250, 0.500]], "delta_e_f_kj_per_mol_atoms": 14.4}



No. 3
{"formula": "Ac2CdPtO8", "functional": "PBE", "state": "optimized geometry", "lattice_angstrom": [[-0.552, 5.111, -2.267], [-2.109, -1.054, 5.100], [5.633, 1.808, 2.704]], "species": ["Ac", "Ac", "Cd", "Pt", "O", "O", "O", "O", "O", "O", "O", "O"], "frac_coords": [[0.667, 0.333, 0.158], [0.333, 0.667, 0.842], [0.000, 0.000, 0.500], [0.000, 0.000, 0.000], [0.837, 0.674, 0.821], [0.326, 0.163, 0.821], [0.837, 0.163, 0.821], [0.163, 0.326, 0.179], [0.674, 0.837, 0.179], [0.163, 0.837, 0.179], [0.667, 0.333, 0.494], [0.333, 0.667, 0.506]], "formation_energy_uncorrected_kcal_per_mol_atoms": -28.85}



No. 4
{"formula": "PuBiPd14", "functional": "PBE", "state": "optimized geometry", "lattice_angstrom": [[5.809, -0.012, 0.000], [0.012, 5.809, 0.000], [0.000, 0.000, 7.837]], "species": ["Pu", "Bi", "Pd", "Pd", "Pd", "Pd", "Pd", "Pd", "Pd", "Pd", "Pd", "Pd", "Pd", "Pd", "Pd", "Pd"], "frac_coords": [[0.375, 0.375, 0.500], [0.875, 0.875, 0.500], [0.875, 0.875, 0.000], [0.375, 0.375, 0.000], [0.875, 0.375, 0.500], [0.875, 0.375, 0.000], [0.375, 0.875, 0.500], [0.375, 0.875, 0.000], [0.624, 0.126, 0.243], [0.624, 0.126, 0.757], [0.126, 0.624, 0.243], [0.126, 0.624, 0.757], [0.624, 0.624, 0.243], [0.624, 0.624, 0.757], [0.126, 0.126, 0.243], [0.126, 0.126, 0.757]], "delta_e_f_kj_per_mol_atoms": -19.4}



No. 5
{"formula": "LiHfO", "functional": "PBE", "state": "optimized geometry", "lattice_angstrom": [[-1.642, -3.290, -3.507], [2.541, -1.843, 0.539], [-4.483, -3.450, 9.339]], "species": ["Li", "Li", "Li", "Li", "Hf", "Hf", "Hf", "Hf", "O", "O", "O", "O"], "frac_coords": [[0.616, 0.000, 0.400], [0.616, 0.500, 0.900], [0.100, 0.000, 0.338], [0.100, 0.500, 0.838], [0.668, 0.000, 0.672], [0.668, 0.500, 0.172], [0.074, 0.000, 0.056], [0.074, 0.500, 0.556], [0.849, 0.000, 0.871], [0.849, 0.500, 0.371], [0.348, 0.000, 0.512], [0.348, 0.500, 0.012]], "formation_energy_uncorrected_kcal_per_mol_atoms": -37.86}



No. 6
{"formula": "PmPrHo", "functional": "PBE", "state": "optimized geometry", "lattice_angstrom": [[3.574, 0.000, -0.047], [0.000, 5.516, -0.010], [-1.644, 0.018, 10.320]], "species": ["Pm", "Pm", "Pr", "Pr", "Ho", "Ho"], "frac_coords": [[0.040, 0.250, 0.582], [0.960, 0.750, 0.418], [0.207, 0.250, 0.912], [0.793, 0.750, 0.088], [0.382, 0.250, 0.266], [0.618, 0.750, 0.734]], "delta_e_f_kj_per_mol_atoms": 3.7}



No. 7
{"formula": "PrHo2Er", "functional": "PBE", "state": "optimized geometry", "lattice_angstrom": [[-1.890, -2.589, 1.569], [1.654, -2.473, 1.972], [-1.369, 4.970, 10.611]], "species": ["Pr", "Ho", "Ho", "Er"], "frac_coords": [[0.500, 0.500, 0.500], [0.748, 0.748, 0.756], [0.252, 0.252, 0.244], [0.000, 0.000, 0.000]], "delta_e_f_kj_per_mol_atoms": 2.3}



No. 8
{"formula": "CuTeN3", "functional": "PBE", "state": "optimized geometry", "lattice_angstrom": [[3.806, 0.000, 0.000], [0.000, 3.806, 0.000], [0.000, 0.000, 3.806]], "species": ["Te", "Cu", "N", "N", "N"], "frac_coords": [[0.500, 0.500, 0.500], [0.000, 0.000, 0.000], [0.000, 0.500, 0.000], [0.000, 0.000, 0.500], [0.500, 0.000, 0.000]], "formation_energy_uncorrected_kcal_per_mol_atoms": 43.33}



No. 9
{"formula": "Ag2MoCl", "functional": "PBE", "state": "optimized geometry", "lattice_angstrom": [[-1.993, 0.399, -4.081], [-2.328, -2.304, -3.171], [-5.390, 1.287, 1.836]], "species": ["Ag", "Ag", "Cl", "Mo"], "frac_coords": [[0.993, 0.993, 0.999], [0.745, 0.745, 0.763], [0.512, 0.512, 0.437], [0.250, 0.250, 0.301]], "formation_energy_uncorrected_kcal_per_mol_atoms": 11.09}



No. 10
{"formula": "Sm8ScCd2", "functional": "PBE", "state": "optimized geometry", "lattice_angstrom": [[-1.714, -5.383, -0.057], [4.490, 0.506, -7.617], [4.258, 0.418, 7.754]], "species": ["Sm", "Sm", "Sm", "Sm", "Sm", "Sm", "Sm", "Sm", "Sc", "Cd", "Cd"], "frac_coords": [[0.888, 0.904, 0.683], [0.888, 0.683, 0.904], [0.300, 0.604, 0.604], [0.500, 0.785, 0.215], [0.500, 0.215, 0.785], [0.700, 0.396, 0.396], [0.112, 0.317, 0.096], [0.112, 0.096, 0.317], [0.500, 0.000, 0.000], [0.000, 0.304, 0.696], [0.000, 0.696, 0.304]], "delta_e_f_kj_per_mol_atoms": 2.2}



No. 11
{"formula": "Ca2PPd3", "functional": "PBE", "state": "optimized geometry", "lattice_angstrom": [[4.709, -0.008, 2.186], [1.392, 4.498, 2.186], [-0.012, -0.008, 5.191]], "species": ["Ca", "Ca", "P", "Pd", "Pd", "Pd"], "frac_coords": [[0.373, 0.373, 0.373], [0.627, 0.627, 0.627], [0.000, 0.000, 0.000], [0.000, 0.000, 0.500], [0.500, 0.000, 0.000], [0.000, 0.500, 0.000]], "delta_e_f_kj_per_mol_atoms": -73.2}



No. 12
{"formula": "VAgSeN2", "functional": "PBE", "state": "optimized geometry", "lattice_angstrom": [[3.753, 0.000, 0.000], [0.000, 3.753, 0.000], [0.000, 0.000, 5.497]], "species": ["N", "N", "Se", "Ag", "V"], "frac_coords": [[0.000, 0.500, 0.000], [0.500, 0.000, 0.000], [0.000, 0.000, 0.500], [0.500, 0.500, 0.500], [0.000, 0.000, 0.000]], "formation_energy_uncorrected_kcal_per_mol_atoms": 7.70}



Number 1: N(E_F) 0.981 states/eV per atom, V 17.2 A^3/atom, electronic total energy -4.943 eV per atom. Number 2: N(E_F) 0.285 states/eV per atom, V 35.8 A^3/atom, electronic total energy -1.414 eV per atom. Number 3: N(E_F) 0.787 states/eV per atom, V 14.8 A^3/atom, electronic total energy -5.821 eV per atom. Number 4: N(E_F) 1.787 states/eV per atom, V 16.5 A^3/atom, electronic total energy -5.883 eV per atom. Number 5: N(E_F) 0.414 states/eV per atom, V 14.2 A^3/atom, electronic total energy -7.250 eV per atom. Number 6: N(E_F) 1.775 states/eV per atom, V 33.8 A^3/atom, electronic total energy -4.664 eV per atom. Number 7: N(E_F) 1.388 states/eV per atom, V 32.0 A^3/atom, electronic total energy -4.600 eV per atom. Number 8: N(E_F) 0.608 states/eV per atom, V 11.0 A^3/atom, electronic total energy -4.564 eV per atom. Number 9: N(E_F) 0.578 states/eV per atom, V 17.9 A^3/atom, electronic total energy -4.114 eV per atom. Number 10: N(E_F) 1.340 states/eV per atom, V 31.8 A^3/atom, electronic total energy -4.151 eV per atom. Number 11: N(E_F) 0.570 states/eV per atom, V 18.4 A^3/atom, electronic total energy -4.924 eV per atom. Number 12: N(E_F) 0.442 states/eV per atom, V 15.5 A^3/atom, electronic total energy -6.087 eV per atom.